Material: TiZnPb
Method: DFT, PBE
State: relaxed

Properties
D(E_F) ... 0.9502 states/eV/atom
ΔH_f (0 K) ... 54.6 meV per atom
Mass density ... 8.788 Mg/m³
Energy relative to the lowest polymorph listed for this composition ... 24.3 meV/atom

Lattice parameters (Å, degrees): 3.1259 3.1259 24.7907 90.00 90.00 90.00
With the nearest neighbours (Å) after each atom.
Space group I4/mmm (No. 139)
Unique sites:
Ti: 0.0000 0.0000 0.1488 [4 per cell]  4 Zn 2.82, 4 Pb 3.06, 4 Ti 3.13
Zn: 0.0000 0.0000 0.2806 [4 per cell]  4 Zn 2.68, 4 Ti 2.82
Pb: 0.0000 0.0000 0.4365 [4 per cell]  4 Ti 3.06, 5 Pb 3.13-3.15

Material: Ti2ZnPb2
Method: DFT, PBE
State: relaxed

Properties
D(E_F) ... 1.1292 states/eV/atom
ΔH_f (0 K) ... 262.2 meV per atom
Mass density ... 8.662 Mg/m³
Energy relative to the lowest polymorph listed for this composition ... 185.9 meV/atom

Lattice parameters (Å, degrees): 8.2653 8.2653 3.2300 90.00 90.00 90.00
With the nearest neighbours (Å) after each atom.
Space group P4/mbm (No. 127)
Unique sites:
Ti: 0.1203 0.3797 0.0000 [4 per cell]  1 Ti 2.81, 6 Pb 2.89-2.96
Zn: 0.0000 0.0000 0.5000 [2 per cell]  4 Pb 3.05, 2 Zn 3.23
Pb: 0.1746 0.6746 0.5000 [4 per cell]  6 Ti 2.89-2.96, 2 Zn 3.05, 2 Pb 3.23

Material: TiZnPb
Method: DFT, PBE
State: relaxed

Properties
D(E_F) ... 0.5957 states/eV/atom
ΔH_f (0 K) ... 55.4 meV per atom
Mass density ... 9.030 Mg/m³
Energy relative to the lowest polymorph listed for this composition ... 25.0 meV/atom

Lattice parameters (Å, degrees): 10.4189 3.9599 6.1753 90.00 112.29 90.00
With the nearest neighbours (Å) after each atom.
Space group Cm (No. 8)
Unique sites:
Ti: 0.0000 0.0000 0.0000 [2 per cell]  3 Zn 2.77-2.83, 2 Ti 2.92, 4 Pb 2.96-3.06
Ti: 0.1766 0.5000 0.3245 [2 per cell]  3 Pb 2.87-2.90, 3 Zn 2.89-2.93, 2 Ti 2.92
Zn: 0.0191 0.0000 0.4594 [2 per cell]  2 Zn 2.68, 3 Ti 2.77-2.89
Zn: 0.3742 0.0000 0.1802 [2 per cell]  2 Zn 2.68, 3 Ti 2.83-2.93, 3 Pb 2.92-3.00
Pb: 0.1774 0.5000 0.8555 [2 per cell]  4 Ti 2.90-3.13, 4 Zn 3.00-3.09, 1 Pb 3.16
Pb: 0.3498 0.0000 0.6353 [2 per cell]  4 Ti 2.87-2.96, 4 Zn 2.92-3.20, 1 Pb 3.16

Material: TiZnPb
Method: DFT, PBE
State: relaxed

Properties
D(E_F) ... 0.4670 states/eV/atom
ΔH_f (0 K) ... 193.9 meV per atom
Mass density ... 8.736 Mg/m³
Energy relative to the lowest polymorph listed for this composition ... 163.5 meV/atom

Lattice parameters (Å, degrees): 4.3386 4.3386 3.7369 90.00 90.00 120.00
With the nearest neighbours (Å) after each atom.
Space group P3m1 (No. 156)
Unique sites:
Ti: 0.0000 0.0000 0.0000 [1 per cell]  3 Zn 2.67
Zn: 0.3333 0.6667 0.2437 [1 per cell]  3 Ti 2.67, 3 Pb 2.78
Pb: 0.6667 0.3333 0.5634 [1 per cell]  3 Zn 2.78, 3 Ti 2.99

Material: Ti5Zn2Pb
Method: DFT, PBE
State: relaxed

Properties
D(E_F) ... 0.9280 states/eV/atom
ΔH_f (0 K) ... -32.3 meV per atom
Mass density ... 6.768 Mg/m³

Lattice parameters (Å, degrees): 7.0194 7.0194 11.4994 90.00 90.00 90.00
With the nearest neighbours (Å) after each atom.
Space group I4/mcm (No. 140)
Unique sites:
Ti: 0.0000 0.0000 0.0000 [4 per cell]  4 Zn 2.71, 2 Pb 2.87
Ti: 0.1522 0.3478 0.1530 [16 per cell]  3 Zn 2.70-2.71, 2 Pb 2.89, 2 Ti 2.96-3.02
Zn: 0.1402 0.3598 0.5000 [8 per cell]  8 Ti 2.70-2.71, 1 Zn 2.78
Pb: 0.0000 0.0000 0.2500 [4 per cell]  10 Ti 2.87-2.89

Material: Ti3ZnPb
Method: DFT, PBE
State: relaxed

Properties
D(E_F) ... 0.6257 states/eV/atom
ΔH_f (0 K) ... 1276.1 meV per atom
Mass density ... 5.166 Mg/m³
Energy relative to the lowest polymorph listed for this composition ... 1101.2 meV/atom

Lattice parameters (Å, degrees): 5.1146 5.1146 5.1146 90.00 90.00 90.00
With the nearest neighbours (Å) after each atom.
Space group Pm-3m (No. 221)
Unique sites:
Ti: 0.0000 0.0000 0.5000 [3 per cell]  2 Pb 2.56
Zn: 0.5000 0.5000 0.5000 [1 per cell]  12 Ti 3.62
Pb: 0.0000 0.0000 0.0000 [1 per cell]  6 Ti 2.56

Material: TiZnPb
Method: DFT, PBE
State: relaxed

Properties
D(E_F) ... 0.7962 states/eV/atom
ΔH_f (0 K) ... 37.6 meV per atom
Mass density ... 8.610 Mg/m³
Energy relative to the lowest polymorph listed for this composition ... 7.2 meV/atom

Lattice parameters (Å, degrees): 3.2946 4.6291 8.1049 90.00 90.00 90.00
With the nearest neighbours (Å) after each atom.
Space group Pmm2 (No. 25)
Unique sites:
Ti: 0.0000 0.0000 0.0000 [1 per cell]  6 Zn 2.81-2.88, 2 Ti 2.83
Ti: 0.5000 0.0000 0.2839 [1 per cell]  2 Ti 2.83, 5 Pb 2.91-3.11, 2 Zn 2.97
Zn: 0.0000 0.5000 0.8030 [1 per cell]  2 Zn 2.62, 2 Ti 2.81
Zn: 0.5000 0.5000 0.0546 [1 per cell]  2 Zn 2.62, 4 Ti 2.88
Pb: 0.0000 0.5000 0.3598 [1 per cell]  4 Ti 2.91, 2 Zn 2.97
Pb: 0.5000 0.0000 0.6681 [1 per cell]  4 Zn 3.04, 3 Ti 3.11-3.15, 2 Pb 3.29

Material: Ti6ZnPb
Method: DFT, PBE
State: relaxed

Properties
D(E_F) ... 0.9690 states/eV/atom
ΔH_f (0 K) ... -59.4 meV per atom
Mass density ... 6.624 Mg/m³

Lattice parameters (Å, degrees): 5.8390 5.8390 4.7522 90.00 90.00 120.00
With the nearest neighbours (Å) after each atom.
Space group P-6m2 (No. 187)
Unique sites:
Ti: 0.1670 0.3340 0.0000 [3 per cell]  8 Ti 2.91-2.93, 2 Zn 2.91, 2 Pb 2.92
Ti: 0.3286 0.1643 0.5000 [3 per cell]  8 Ti 2.88-2.96, 2 Zn 2.92, 2 Pb 2.93
Zn: 0.3333 0.6667 0.5000 [1 per cell]  12 Ti 2.91-2.92
Pb: 0.6667 0.3333 0.0000 [1 per cell]  12 Ti 2.92-2.93

Material: Ti4ZnPb
Method: DFT, PBE
State: relaxed

Properties
D(E_F) ... 0.6168 states/eV/atom
ΔH_f (0 K) ... -95.6 meV per atom
Mass density ... 7.206 Mg/m³
Energy relative to the lowest polymorph listed for this composition ... 0.0 meV/atom

Lattice parameters (Å, degrees): 10.0529 3.5572 6.2816 90.00 107.79 90.00
With the nearest neighbours (Å) after each atom.
Space group C2/m (No. 12)
Unique sites:
Ti: 0.1659 0.0000 0.3532 [4 per cell]  5 Ti 2.74-2.90, 2 Zn 2.78, 2 Pb 2.93
Ti: 0.1736 0.0000 0.8184 [4 per cell]  5 Ti 2.83-2.93, 2 Zn 2.84, 3 Pb 2.95-3.13
Zn: 0.0000 0.5000 0.5000 [2 per cell]  8 Ti 2.78-2.84
Pb: 0.0000 0.5000 0.0000 [2 per cell]  10 Ti 2.93-3.13, 2 Zn 3.14

Material: Ti7Zn2Pb2
Method: DFT, PBE
State: relaxed

Properties
D(E_F) ... 0.9799 states/eV/atom
ΔH_f (0 K) ... 90.0 meV per atom
Mass density ... 7.132 Mg/m³

Lattice parameters (Å, degrees): 9.3319 9.3093 5.1953 90.00 114.75 90.00
With the nearest neighbours (Å) after each atom.
Space group C2/m (No. 12)
Unique sites:
Ti: 0.0000 0.0000 0.0000 [2 per cell]  4 Ti 2.72, 2 Zn 2.82
Ti: 0.0916 0.5000 0.8280 [4 per cell]  3 Zn 2.79-3.00, 4 Ti 2.81-3.11
Ti: 0.1661 0.2492 0.1580 [8 per cell]  4 Ti 2.70-2.84, 2 Zn 2.75-2.93, 2 Pb 2.83-2.90
Zn: 0.2427 0.5000 0.4638 [4 per cell]  8 Ti 2.75-3.00, 2 Pb 3.02
Pb: 0.0000 0.2058 0.5000 [4 per cell]  8 Ti 2.83-3.15, 2 Zn 3.02

Material: Ti2ZnPb2
Method: DFT, PBE
State: relaxed

Properties
D(E_F) ... 0.7265 states/eV/atom
ΔH_f (0 K) ... 76.4 meV per atom
Mass density ... 9.068 Mg/m³
Energy relative to the lowest polymorph listed for this composition ... 0.0 meV/atom

Lattice parameters (Å, degrees): 7.0231 7.0231 4.2737 90.00 90.00 90.00
With the nearest neighbours (Å) after each atom.
Space group P4/mbm (No. 127)
Unique sites:
Ti: 0.1401 0.3599 0.0000 [4 per cell]  2 Zn 2.71, 1 Ti 2.78, 2 Pb 2.86
Zn: 0.0000 0.0000 0.0000 [2 per cell]  4 Ti 2.71
Pb: 0.1687 0.6687 0.5000 [4 per cell]  6 Ti 2.86-3.05

Material: Ti6ZnPb
Method: DFT, PBE
State: relaxed

Properties
D(E_F) ... 1.3277 states/eV/atom
ΔH_f (0 K) ... -60.9 meV per atom
Mass density ... 6.689 Mg/m³

Lattice parameters (Å, degrees): 4.0899 4.0899 8.3079 90.00 90.00 90.00
With the nearest neighbours (Å) after each atom.
Space group P4/mmm (No. 123)
Unique sites:
Ti: 0.0000 0.0000 0.0000 [1 per cell]  8 Ti 2.83, 4 Zn 2.89
Ti: 0.0000 0.0000 0.5000 [1 per cell]  4 Pb 2.89, 8 Ti 3.01
Ti: 0.0000 0.5000 0.2350 [4 per cell]  8 Ti 2.83-3.01, 2 Zn 2.83, 2 Pb 3.01
Zn: 0.5000 0.5000 0.0000 [1 per cell]  12 Ti 2.83-2.89
Pb: 0.5000 0.5000 0.5000 [1 per cell]  12 Ti 2.89-3.01

Material: TiZnPb
Method: DFT, PBE
State: relaxed

Properties
D(E_F) ... 0.7384 states/eV/atom
ΔH_f (0 K) ... 86.7 meV per atom
Mass density ... 8.552 Mg/m³
Energy relative to the lowest polymorph listed for this composition ... 56.3 meV/atom

Lattice parameters (Å, degrees): 4.9182 3.1694 8.0945 90.00 99.48 90.00
With the nearest neighbours (Å) after each atom.
Space group Pm (No. 6)
Unique sites:
Ti: 0.0000 0.0000 0.0000 [1 per cell]  2 Ti 2.77, 4 Pb 2.93-2.95, 1 Zn 3.05
Ti: 0.1416 0.5000 0.2820 [1 per cell]  6 Zn 2.76-2.98, 2 Ti 2.77
Zn: 0.4018 0.0000 0.5392 [1 per cell]  1 Zn 2.60, 2 Ti 2.76
Zn: 0.6556 0.0000 0.2812 [1 per cell]  1 Zn 2.60, 2 Ti 2.87
Pb: 0.4893 0.5000 0.9688 [1 per cell]  4 Ti 2.93-2.95, 2 Zn 2.98, 2 Pb 3.17
Pb: 0.9280 0.5000 0.6453 [1 per cell]  4 Zn 3.04-3.06, 2 Pb 3.17, 3 Ti 3.25-3.28

Material: Ti3ZnPb
Method: DFT, PBE
State: relaxed

Properties
D(E_F) ... 1.1682 states/eV/atom
ΔH_f (0 K) ... 174.9 meV per atom
Mass density ... 7.303 Mg/m³
Energy relative to the lowest polymorph listed for this composition ... 0.0 meV/atom

Lattice parameters (Å, degrees): 6.4638 6.4638 5.2306 90.00 90.00 120.00
With the nearest neighbours (Å) after each atom.
Space group P6_3/mmc (No. 194)
Unique sites:
Ti: 0.1937 0.3875 0.2500 [6 per cell]  2 Zn 2.53, 2 Ti 2.71
Zn: 0.0000 0.0000 0.0000 [2 per cell]  6 Ti 2.53, 2 Zn 2.62
Pb: 0.3333 0.6667 0.7500 [2 per cell]  12 Ti 3.05-3.25

Material: Ti2Zn2Pb
Method: DFT, PBE
State: relaxed

Properties
D(E_F) ... 1.2899 states/eV/atom
ΔH_f (0 K) ... 64.3 meV per atom
Mass density ... 8.077 Mg/m³
Energy relative to the lowest polymorph listed for this composition ... 0.0 meV/atom

Lattice parameters (Å, degrees): 7.3699 7.3699 3.2835 90.00 90.00 90.00
With the nearest neighbours (Å) after each atom.
Space group P4/mbm (No. 127)
Unique sites:
Ti: 0.1758 0.3242 0.0000 [4 per cell]  6 Zn 2.70-2.75
Zn: 0.1184 0.6184 0.5000 [4 per cell]  1 Zn 2.47, 6 Ti 2.70-2.75
Pb: 0.0000 0.0000 0.5000 [2 per cell]  4 Zn 2.94, 8 Ti 3.18, 2 Pb 3.28

Material: TiZnPb
Method: DFT, PBE
State: relaxed

Properties
D(E_F) ... 0.6665 states/eV/atom
ΔH_f (0 K) ... 30.4 meV per atom
Mass density ... 8.653 Mg/m³
Energy relative to the lowest polymorph listed for this composition ... 0.0 meV/atom

Lattice parameters (Å, degrees): 15.3199 4.1203 4.0392 90.00 105.23 90.00
With the nearest neighbours (Å) after each atom.
Space group Cm (No. 8)
Unique sites:
Ti: 0.0000 0.0000 0.0000 [2 per cell]  6 Zn 2.67-2.89, 2 Ti 2.90
Ti: 0.1378 0.5000 0.1360 [2 per cell]  2 Zn 2.81-2.82, 2 Ti 2.90, 5 Pb 2.90-2.94
Zn: 0.0052 0.5000 0.5050 [2 per cell]  2 Zn 2.68-2.69, 6 Ti 2.81-2.89
Zn: 0.3854 0.0000 0.8862 [2 per cell]  2 Ti 2.67, 2 Zn 2.68-2.69, 4 Pb 2.97
Pb: 0.1610 0.0000 0.6596 [2 per cell]  6 Ti 2.90-3.12, 2 Zn 3.09
Pb: 0.3370 0.5000 0.3376 [2 per cell]  3 Ti 2.94-3.14, 6 Zn 2.97-3.23

Material: Ti12ZnPb3
Method: DFT, PBE
State: relaxed

Properties
D(E_F) ... 1.3185 states/eV/atom
ΔH_f (0 K) ... -65.1 meV per atom
Mass density ... 7.279 Mg/m³

Lattice parameters (Å, degrees): 5.2316 5.2410 10.4946 90.00 90.00 90.00
With the nearest neighbours (Å) after each atom.
Space group Pmmm (No. 47)
Unique sites:
Ti: 0.0000 0.0000 0.1184 [2 per cell]  2 Ti 2.49-2.66
Ti: 0.0000 0.0000 0.3714 [2 per cell]  2 Ti 2.66-2.70, 4 Pb 2.91-2.94
Ti: 0.2480 0.5000 0.5000 [2 per cell]  2 Ti 2.59-2.64
Ti: 0.2574 0.5000 0.0000 [2 per cell]  2 Ti 2.54-2.69
Ti: 0.5000 0.2453 0.2407 [4 per cell]  2 Ti 2.57-2.67, 1 Zn 2.83
Zn: 0.5000 0.0000 0.0000 [1 per cell]  12 Ti 2.83-2.91
Pb: 0.0000 0.5000 0.2502 [2 per cell]  12 Ti 2.91-2.96
Pb: 0.5000 0.0000 0.5000 [1 per cell]  12 Ti 2.93-3.01

Material: Ti8ZnPb2
Method: DFT, PBE
State: relaxed

Properties
D(E_F) ... 1.4499 states/eV/atom
ΔH_f (0 K) ... -28.3 meV per atom
Mass density ... 7.153 Mg/m³

Lattice parameters (Å, degrees): 15.2589 3.9554 6.9782 90.00 108.00 90.00
With the nearest neighbours (Å) after each atom.
Space group C2/m (No. 12)
Unique sites:
Ti: 0.0449 0.0000 0.2517 [4 per cell]  8 Ti 2.77-3.10, 2 Zn 2.85, 1 Pb 2.95
Ti: 0.0785 0.5000 0.9394 [4 per cell]  7 Ti 2.77-3.10, 1 Zn 2.93, 2 Pb 2.96
Ti: 0.1273 0.0000 0.6798 [4 per cell]  2 Zn 2.78, 6 Ti 2.81-2.93, 2 Pb 3.01
Ti: 0.1756 0.5000 0.4269 [4 per cell]  6 Ti 2.81-2.94, 3 Pb 2.87-2.96, 1 Zn 2.88
Zn: 0.0000 0.5000 0.5000 [2 per cell]  12 Ti 2.78-2.93
Pb: 0.2193 0.0000 0.1532 [4 per cell]  9 Ti 2.87-3.17

Material: Ti3ZnPb
Method: DFT, PBE
State: relaxed

Properties
D(E_F) ... 1.3264 states/eV/atom
ΔH_f (0 K) ... 446.6 meV per atom
Mass density ... 6.638 Mg/m³
Energy relative to the lowest polymorph listed for this composition ... 271.6 meV/atom

Lattice parameters (Å, degrees): 4.7044 4.7044 4.7044 90.00 90.00 90.00
With the nearest neighbours (Å) after each atom.
Space group Pm-3m (No. 221)
Unique sites:
Ti: 0.0000 0.0000 0.5000 [3 per cell]  2 Zn 2.35
Zn: 0.0000 0.0000 0.0000 [1 per cell]  6 Ti 2.35
Pb: 0.5000 0.5000 0.5000 [1 per cell]  12 Ti 3.33

Material: Zr2Ti2Pb
Method: DFT, PBE
State: relaxed

Properties
D(E_F) ... 1.0995 states/eV/atom
ΔH_f (0 K) ... -20.1 meV per atom
Mass density ... 7.634 Mg/m³
Energy relative to the lowest polymorph listed for this composition ... 0.0 meV/atom

Lattice parameters (Å, degrees): 7.3602 7.3602 3.8977 90.00 90.00 90.00
With the nearest neighbours (Å) after each atom.
Space group P4/mbm (No. 127)
Unique sites:
Zr: 0.1698 0.3302 0.0000 [4 per cell]  6 Ti 2.88-2.94
Ti: 0.1267 0.6267 0.5000 [4 per cell]  1 Ti 2.64, 6 Zr 2.88-2.94, 2 Pb 2.90
Pb: 0.0000 0.0000 0.5000 [2 per cell]  4 Ti 2.90

Material: ZrTi4Pb4
Method: DFT, PBE
State: relaxed

Properties
D(E_F) ... 1.1784 states/eV/atom
ΔH_f (0 K) ... 188.4 meV per atom
Mass density ... 9.107 Mg/m³

Lattice parameters (Å, degrees): 8.3377 8.3377 5.8304 90.00 90.00 90.00
With the nearest neighbours (Å) after each atom.
Space group P4_2/n (No. 86, origin choice 2)
Unique sites:
Zr: 0.2500 0.2500 0.2500 [2 per cell]  4 Pb 2.93, 4 Ti 2.94
Ti: 0.0618 0.1398 0.6469 [8 per cell]  3 Ti 2.84-3.07, 3 Pb 2.94-3.06, 1 Zr 2.94
Pb: 0.0823 0.8255 0.8722 [8 per cell]  1 Zr 2.93, 5 Ti 2.94-3.27, 1 Pb 3.07

Material: Zr5TiPb3
Method: DFT, PBE
State: relaxed

Properties
D(E_F) ... 1.1251 states/eV/atom
ΔH_f (0 K) ... -150.2 meV per atom
Mass density ... 9.173 Mg/m³

Lattice parameters (Å, degrees): 8.8723 8.8723 5.9776 90.00 90.00 120.00
With the nearest neighbours (Å) after each atom.
Space group P6_3/mcm (No. 193)
Unique sites:
Zr: 0.0000 0.2833 0.2500 [6 per cell]  2 Ti 2.92, 5 Pb 2.99-3.09
Zr: 0.3333 0.6667 0.0000 [4 per cell]  2 Zr 2.99, 6 Pb 3.18
Ti: 0.0000 0.0000 0.0000 [2 per cell]  6 Zr 2.92, 2 Ti 2.99
Pb: 0.0000 0.3719 0.7500 [6 per cell]  9 Zr 2.99-3.18